# Hf2TcIr | Alexandria via LeMat-Bulk | SCAN | single point on PBEsol structure
# Energy of formation from the pure elements   -1.05 eV per atom
data_Hf2TcIr
_cell_length_a 4.5536
_cell_length_b 4.5536
_cell_length_c 4.5536
_cell_angle_alpha 60.00
_cell_angle_beta 60.00
_cell_angle_gamma 60.00
_space_group_name_H-M_alt 'P 1'
_space_group_IT_number 1
_space_group_name_Hall 'P 1'
loop_
_atom_site_label
_atom_site_fract_x
_atom_site_fract_y
_atom_site_fract_z
Ir1 0.5000 0.5000 0.5000
Hf1 0.2500 0.2500 0.2500
Hf2 0.7500 0.7500 0.7500
Tc1 0.0000 0.0000 0.0000

***

# AgMo2W | Alexandria via LeMat-Bulk | SCAN | single point on PBEsol structure
# Energy of formation from the pure elements   0.51 eV per atom
data_AgMo2W
_cell_length_a 2.7414
_cell_length_b 2.7414
_cell_length_c 9.8738
_cell_angle_alpha 82.02
_cell_angle_beta 82.02
_cell_angle_gamma 60.00
_space_group_name_H-M_alt 'P 1'
_space_group_IT_number 1
_space_group_name_Hall 'P 1'
loop_
_atom_site_label
_atom_site_fract_x
_atom_site_fract_y
_atom_site_fract_z
Ag1 0.0000 0.0000 0.0000
Mo1 0.2490 0.2490 0.2529
Mo2 0.7510 0.7510 0.7471
W1 0.5000 0.5000 0.5000

***

# LiGa2Ag2 | Alexandria via LeMat-Bulk | SCAN | single point on PBEsol structure
# Energy of formation from the pure elements   -0.12 eV per atom
data_LiGa2Ag2
_cell_length_a 2.8969
_cell_length_b 7.6676
_cell_length_c 7.6676
_cell_angle_alpha 90.00
_cell_angle_beta 90.00
_cell_angle_gamma 90.00
_space_group_name_H-M_alt 'P 1'
_space_group_IT_number 1
_space_group_name_Hall 'P 1'
loop_
_atom_site_label
_atom_site_fract_x
_atom_site_fract_y
_atom_site_fract_z
Ga1 0.0000 0.3792 0.8792
Ga2 0.0000 0.8792 0.6208
Ga3 0.0000 0.6208 0.1208
Ga4 0.0000 0.1208 0.3792
Ag1 0.5000 0.1811 0.6811
Ag2 0.5000 0.6811 0.8189
Ag3 0.5000 0.8189 0.3189
Ag4 0.5000 0.3189 0.1811
Li1 0.0000 0.0000 0.0000
Li2 0.0000 0.5000 0.5000

***

# CaTlAg2Pd | Alexandria via LeMat-Bulk | SCAN | single point on PBEsol structure
# Energy of formation from the pure elements   0.06 eV per atom
data_CaTlAg2Pd
_cell_length_a 5.0110
_cell_length_b 5.0711
_cell_length_c 5.0711
_cell_angle_alpha 90.00
_cell_angle_beta 90.00
_cell_angle_gamma 90.00
_space_group_name_H-M_alt 'P 1'
_space_group_IT_number 1
_space_group_name_Hall 'P 1'
loop_
_atom_site_label
_atom_site_fract_x
_atom_site_fract_y
_atom_site_fract_z
Tl1 0.5000 0.0000 0.0000
Ca1 0.5000 0.5000 0.5000
Pd1 0.0000 0.0000 0.0000
Ag1 0.0000 0.0000 0.5000
Ag2 0.0000 0.5000 0.0000

***

Entry from Alexandria via LeMat-Bulk: a PBEsol-optimized structure of HfSb2Ir2 (SCAN).

Cell and atoms, written as CIF:
```
data_HfSb2Ir2
_cell_length_a 4.0924
_cell_length_b 4.0924
_cell_length_c 6.6207
_cell_angle_alpha 108.00
_cell_angle_beta 108.00
_cell_angle_gamma 90.00
_space_group_name_H-M_alt 'P 1'
_space_group_IT_number 1
_space_group_name_Hall 'P 1'
loop_
_atom_site_label
_atom_site_fract_x
_atom_site_fract_y
_atom_site_fract_z
Sb1 0.2500 0.7500 0.5000
Sb2 0.7500 0.2500 0.5000
Ir1 0.3939 0.3939 0.7879
Ir2 0.6061 0.6061 0.2121
Hf1 0.0000 0.0000 0.0000
```

***

# Ag2Pt | Alexandria via LeMat-Bulk | SCAN | single point on PBEsol structure
# Energy of formation from the pure elements   0.01 eV per atom
data_Ag2Pt
_cell_length_a 5.6324
_cell_length_b 5.6760
_cell_length_c 7.3963
_cell_angle_alpha 100.77
_cell_angle_beta 100.56
_cell_angle_gamma 119.92
_space_group_name_H-M_alt 'P 1'
_space_group_IT_number 1
_space_group_name_Hall 'P 1'
loop_
_atom_site_label
_atom_site_fract_x
_atom_site_fract_y
_atom_site_fract_z
Pt1 0.5000 0.5000 0.5000
Pt2 0.9999 0.3443 0.8332
Pt3 0.0001 0.6557 0.1668
Pt4 0.0000 0.5000 0.5000
Ag1 0.5001 0.3379 0.8349
Ag2 0.4997 0.1640 0.1690
Ag3 0.5000 0.0000 0.5000
Ag4 0.5003 0.8360 0.8310
Ag5 0.4999 0.6621 0.1651
Ag6 0.0012 0.1632 0.1668
Ag7 0.0000 0.0000 0.5000
Ag8 0.9988 0.8368 0.8332

***

# BaSrHg2 | Alexandria via LeMat-Bulk | SCAN | single point on PBEsol structure
# Energy of formation from the pure elements   -0.67 eV per atom
data_BaSrHg2
_cell_length_a 5.6738
_cell_length_b 5.6738
_cell_length_c 5.6738
_cell_angle_alpha 60.00
_cell_angle_beta 60.00
_cell_angle_gamma 60.00
_space_group_name_H-M_alt 'P 1'
_space_group_IT_number 1
_space_group_name_Hall 'P 1'
loop_
_atom_site_label
_atom_site_fract_x
_atom_site_fract_y
_atom_site_fract_z
Sr1 0.5000 0.5000 0.5000
Hg1 0.7500 0.7500 0.7500
Hg2 0.2500 0.2500 0.2500
Ba1 0.0000 0.0000 0.0000

***

# MnNiBi3 | Alexandria via LeMat-Bulk | SCAN | single point on PBEsol structure
# Energy of formation from the pure elements   0.50 eV per atom
data_MnNiBi3
_cell_length_a 5.0783
_cell_length_b 5.0783
_cell_length_c 5.0783
_cell_angle_alpha 90.00
_cell_angle_beta 90.00
_cell_angle_gamma 90.00
_space_group_name_H-M_alt 'P 1'
_space_group_IT_number 1
_space_group_name_Hall 'P 1'
loop_
_atom_site_label
_atom_site_fract_x
_atom_site_fract_y
_atom_site_fract_z
Ni1 0.0000 0.0000 0.0000
Mn1 0.5000 0.5000 0.5000
Bi1 0.0000 0.5000 0.0000
Bi2 0.0000 0.0000 0.5000
Bi3 0.5000 0.0000 0.0000

***

# CoHg3Mo | Alexandria via LeMat-Bulk | SCAN | single point on PBEsol structure
# Energy of formation from the pure elements   1.06 eV per atom
data_CoHg3Mo
_cell_length_a 4.8053
_cell_length_b 4.8053
_cell_length_c 4.8053
_cell_angle_alpha 90.00
_cell_angle_beta 90.00
_cell_angle_gamma 90.00
_space_group_name_H-M_alt 'P 1'
_space_group_IT_number 1
_space_group_name_Hall 'P 1'
loop_
_atom_site_label
_atom_site_fract_x
_atom_site_fract_y
_atom_site_fract_z
Mo1 0.5000 0.5000 0.5000
Co1 0.0000 0.0000 0.0000
Hg1 0.0000 0.5000 0.0000
Hg2 0.0000 0.0000 0.5000
Hg3 0.5000 0.0000 0.0000

***

# Li2AcSn | Alexandria via LeMat-Bulk | SCAN | single point on PBEsol structure
# Energy of formation from the pure elements   -0.46 eV per atom
data_Li2AcSn
_cell_length_a 5.0508
_cell_length_b 5.0508
_cell_length_c 5.0508
_cell_angle_alpha 60.00
_cell_angle_beta 60.00
_cell_angle_gamma 60.00
_space_group_name_H-M_alt 'P 1'
_space_group_IT_number 1
_space_group_name_Hall 'P 1'
loop_
_atom_site_label
_atom_site_fract_x
_atom_site_fract_y
_atom_site_fract_z
Ac1 0.5000 0.5000 0.5000
Sn1 0.0000 0.0000 0.0000
Li1 0.2500 0.2500 0.2500
Li2 0.7500 0.7500 0.7500

***

Entry from Alexandria via LeMat-Bulk: a PBEsol-optimized structure of TcSb2Pb (SCAN).

Cell and atoms, written as CIF:
```
data_TcSb2Pb
_cell_length_a 3.2945
_cell_length_b 3.2945
_cell_length_c 8.1282
_cell_angle_alpha 90.00
_cell_angle_beta 90.00
_cell_angle_gamma 90.00
_space_group_name_H-M_alt 'P 1'
_space_group_IT_number 1
_space_group_name_Hall 'P 1'
loop_
_atom_site_label
_atom_site_fract_x
_atom_site_fract_y
_atom_site_fract_z
Pb1 0.5000 0.5000 0.0000
Sb1 0.0000 0.0000 0.3048
Sb2 0.0000 0.0000 0.6952
Tc1 0.5000 0.5000 0.5000
```

***

Entry from Alexandria via LeMat-Bulk: a PBEsol-optimized structure of Re4SiSb (SCAN).

Cell and atoms, written as CIF:
```
data_Re4SiSb
_cell_length_a 5.2109
_cell_length_b 5.2109
_cell_length_c 5.2109
_cell_angle_alpha 60.00
_cell_angle_beta 60.00
_cell_angle_gamma 60.00
_space_group_name_H-M_alt 'P 1'
_space_group_IT_number 1
_space_group_name_Hall 'P 1'
loop_
_atom_site_label
_atom_site_fract_x
_atom_site_fract_y
_atom_site_fract_z
Re1 0.6252 0.6252 0.1243
Re2 0.1243 0.6252 0.6252
Re3 0.6252 0.1243 0.6252
Re4 0.6252 0.6252 0.6252
Sb1 0.2500 0.2500 0.2500
Si1 0.0000 0.0000 0.0000
```

***

Entry from Alexandria via LeMat-Bulk: a PBEsol-optimized structure of Cs2TcOsF (SCAN).

Cell and atoms, written as CIF:
```
data_Cs2TcOsF
_cell_length_a 3.9787
_cell_length_b 6.4863
_cell_length_c 6.4863
_cell_angle_alpha 90.00
_cell_angle_beta 90.00
_cell_angle_gamma 90.00
_space_group_name_H-M_alt 'P 1'
_space_group_IT_number 1
_space_group_name_Hall 'P 1'
loop_
_atom_site_label
_atom_site_fract_x
_atom_site_fract_y
_atom_site_fract_z
Cs1 0.0000 0.0000 0.5000
Cs2 0.0000 0.5000 0.0000
Os1 0.5000 0.5000 0.5000
Tc1 0.0000 0.0000 0.0000
F1 0.5000 0.0000 0.0000
```

***

# La2YCu | Alexandria via LeMat-Bulk | SCAN | single point on PBEsol structure
# Energy of formation from the pure elements   -0.08 eV per atom
data_La2YCu
_cell_length_a 3.5483
_cell_length_b 3.5483
_cell_length_c 8.6389
_cell_angle_alpha 90.00
_cell_angle_beta 90.00
_cell_angle_gamma 89.98
_space_group_name_H-M_alt 'P 1'
_space_group_IT_number 1
_space_group_name_Hall 'P 1'
loop_
_atom_site_label
_atom_site_fract_x
_atom_site_fract_y
_atom_site_fract_z
Y1 0.0000 0.0000 0.4408
Cu1 0.5000 0.5000 0.2665
La1 0.0000 0.0000 0.0492
La2 0.5000 0.5000 0.7435

***

Entry from Alexandria via LeMat-Bulk: a PBEsol-optimized structure of V5O12 (SCAN).

Cell and atoms, written as CIF:
```
data_V5O12
_cell_length_a 4.8597
_cell_length_b 5.2077
_cell_length_c 7.3138
_cell_angle_alpha 83.46
_cell_angle_beta 90.08
_cell_angle_gamma 89.80
_space_group_name_H-M_alt 'P 1'
_space_group_IT_number 1
_space_group_name_Hall 'P 1'
loop_
_atom_site_label
_atom_site_fract_x
_atom_site_fract_y
_atom_site_fract_z
V1 0.9762 0.0174 0.9841
V2 0.5246 0.4880 0.5141
V3 0.0320 0.9951 0.5178
V4 0.4657 0.4940 0.9792
V5 0.0060 0.5967 0.2738
O1 0.7154 0.7596 0.4219
O2 0.9007 0.9630 0.7318
O3 0.6793 0.1471 0.0311
O4 0.8389 0.3020 0.4137
O5 0.1779 0.2793 0.9348
O6 0.6040 0.4742 0.7355
O7 0.3281 0.4596 0.2341
O8 0.8121 0.6198 0.0731
O9 0.1990 0.6597 0.5193
O10 0.3132 0.7728 0.9284
O11 0.1023 0.9361 0.2272
O12 0.3246 0.1539 0.5395
```

***

Entry from Alexandria via LeMat-Bulk: a PBEsol-optimized structure of CaLaMgTaO6 (SCAN).

Cell and atoms, written as CIF:
```
data_CaLaMgTaO6
_cell_length_a 5.5158
_cell_length_b 5.6401
_cell_length_c 7.8606
_cell_angle_alpha 90.00
_cell_angle_beta 89.89
_cell_angle_gamma 90.00
_space_group_name_H-M_alt 'P 1'
_space_group_IT_number 1
_space_group_name_Hall 'P 1'
loop_
_atom_site_label
_atom_site_fract_x
_atom_site_fract_y
_atom_site_fract_z
Ca1 0.5122 0.7991 0.2513
Ca2 0.0122 0.2009 0.7513
La1 0.9902 0.2932 0.2482
La2 0.4902 0.7068 0.7482
Mg1 0.4993 0.2500 0.5004
Mg2 0.9993 0.7500 0.0004
Ta1 0.9997 0.7526 0.4984
Ta2 0.4997 0.2474 0.9984
O1 0.9120 0.7810 0.7440
O2 0.7995 0.0385 0.4511
O3 0.7870 0.0462 0.0454
O4 0.7097 0.5535 0.4534
O5 0.6961 0.5358 0.0516
O6 0.5944 0.2767 0.7561
O7 0.4120 0.2190 0.2440
O8 0.2995 0.9615 0.9511
O9 0.2870 0.9538 0.5454
O10 0.2097 0.4465 0.9534
O11 0.1961 0.4642 0.5516
O12 0.0944 0.7233 0.2561
```

***

Entry from Alexandria via LeMat-Bulk: a PBEsol-optimized structure of MgCuTe2 (SCAN).

Cell and atoms, written as CIF:
```
data_MgCuTe2
_cell_length_a 3.9107
_cell_length_b 3.9107
_cell_length_c 6.6744
_cell_angle_alpha 107.04
_cell_angle_beta 107.04
_cell_angle_gamma 90.00
_space_group_name_H-M_alt 'P 1'
_space_group_IT_number 1
_space_group_name_Hall 'P 1'
loop_
_atom_site_label
_atom_site_fract_x
_atom_site_fract_y
_atom_site_fract_z
Cu1 0.5000 0.5000 0.0000
Mg1 0.2500 0.7500 0.5000
Te1 0.0000 0.0000 0.0000
Te2 0.7500 0.2500 0.5000
```

***

Entry from Alexandria via LeMat-Bulk: a PBEsol-optimized structure of ReTeW (SCAN).

Cell and atoms, written as CIF:
```
data_ReTeW
_cell_length_a 4.3390
_cell_length_b 4.3390
_cell_length_c 4.3390
_cell_angle_alpha 60.00
_cell_angle_beta 60.00
_cell_angle_gamma 60.00
_space_group_name_H-M_alt 'P 1'
_space_group_IT_number 1
_space_group_name_Hall 'P 1'
loop_
_atom_site_label
_atom_site_fract_x
_atom_site_fract_y
_atom_site_fract_z
Re1 0.2500 0.2500 0.2500
Te1 0.0000 0.0000 0.0000
W1 0.5000 0.5000 0.5000
```

***

Entry from Alexandria via LeMat-Bulk: a PBEsol-optimized structure of SrSbPtI2 (SCAN).

Cell and atoms, written as CIF:
```
data_SrSbPtI2
_cell_length_a 5.9527
_cell_length_b 5.9527
_cell_length_c 6.4486
_cell_angle_alpha 90.00
_cell_angle_beta 90.00
_cell_angle_gamma 90.00
_space_group_name_H-M_alt 'P 1'
_space_group_IT_number 1
_space_group_name_Hall 'P 1'
loop_
_atom_site_label
_atom_site_fract_x
_atom_site_fract_y
_atom_site_fract_z
I1 0.0000 0.5000 0.0000
I2 0.5000 0.0000 0.0000
Sb1 0.0000 0.0000 0.5000
Pt1 0.5000 0.5000 0.5000
Sr1 0.0000 0.0000 0.0000
```

***

# ZnCd2Cu | Alexandria via LeMat-Bulk | SCAN | single point on PBEsol structure
# Energy of formation from the pure elements   0.10 eV per atom
data_ZnCd2Cu
_cell_length_a 3.2542
_cell_length_b 3.5528
_cell_length_c 5.7236
_cell_angle_alpha 90.00
_cell_angle_beta 90.00
_cell_angle_gamma 90.00
_space_group_name_H-M_alt 'P 1'
_space_group_IT_number 1
_space_group_name_Hall 'P 1'
loop_
_atom_site_label
_atom_site_fract_x
_atom_site_fract_y
_atom_site_fract_z
Cd1 0.0000 0.0000 0.7564
Cd2 0.0000 0.0000 0.2436
Cu1 0.5000 0.5000 0.0000
Zn1 0.5000 0.5000 0.5000

***

The following uncorrected energy values (in Ry/atom) correspond, in order, to the records above: -4.331; -3.101; -1.446; -2.605; -4.107; -3.256; -3.691; -3.935; -3.695; -2.444; -3.399; -4.000; -2.653; -2.381; -0.882; -1.440; -1.742; -4.323; -2.937; -1.638.
The following magnetic moment values (in μB/cell) correspond, in order, to the records above: 0.0; 0.0; 0.0; 0.0; 0.0; 0.0; 0.0; 4.5; 5.5; 0.0; 0.0; 0.0; 6.0; 0.0; 1.0; 0.0; 0.0; 0.0; 2.3; 0.0.